No. 1
A plane-wave DFT calculation with PBEsol was carried out for a relaxed structure of Nd2Si2PbSe8.

Computed properties:
SG   Cc, No. 9
Total DFT energy (no corrections)   -5.39 eV/atom

Cell and atoms, written as POSCAR:
```
Nd2Si2PbSe8
1.0
-4.1784 -8.1467 0.2357
4.6252 -7.4456 -2.6560
3.0856 -6.1835 7.8943
Nd Si Pb Se
4 4 2 16
Direct
0.2458 0.4409 0.2498
0.9429 0.0560 0.2439
0.4409 0.2458 0.7498
0.0560 0.9429 0.7439
0.3239 0.8544 0.9801
0.8544 0.3239 0.4801
0.6485 0.1723 0.0194
0.1723 0.6485 0.5194
0.5857 0.7453 0.2604
0.7453 0.5857 0.7604
0.5250 0.6113 0.0832
0.0819 0.7912 0.0583
0.2656 0.0860 0.0490
0.7912 0.0819 0.5583
0.6113 0.5250 0.5832
0.0860 0.2656 0.5490
0.4198 0.4087 0.9484
0.8952 0.2254 0.9288
0.7041 0.9556 0.9296
0.2254 0.8952 0.4288
0.4087 0.4198 0.4484
0.9556 0.7041 0.4296
0.4040 0.9320 0.7323
0.9320 0.4040 0.2323
0.5790 0.0995 0.2667
0.0995 0.5790 0.7667
```



No. 2
A plane-wave DFT calculation with PBEsol was carried out for a relaxed structure of TaIn2Sb.

Computed properties:
SG   Pmmm, No. 47
Total DFT energy (no corrections)   -5.44 eV/atom

Cell and atoms, written as POSCAR:
```
TaIn2Sb
1.0
3.0945 0.0000 0.0000
0.0000 4.7866 0.0000
0.0000 0.0000 5.7911
In Sb Ta
2 1 1
Direct
0.0000 0.0000 0.7399
0.0000 0.0000 0.2601
0.5000 0.5000 0.0000
0.5000 0.5000 0.5000
```



No. 3
A plane-wave DFT calculation with PBEsol was carried out for a relaxed structure of MnRhCl.

Computed properties:
SG   F-43m, No. 216
Total DFT energy (no corrections)   -5.88 eV/atom

Cell and atoms, written as POSCAR:
```
MnRhCl
1.0
4.0836 0.0000 0.0000
2.0418 3.5365 0.0000
2.0418 1.1788 3.3342
Mn Rh Cl
1 1 1
Direct
0.0000 0.0000 0.0000
0.5000 0.5000 0.5000
0.7500 0.7500 0.7500
```



No. 4
A plane-wave DFT calculation with PBEsol was carried out for a relaxed structure of InCu2Te.

Computed properties:
SG   Pmmm, No. 47
Energy above the most stable polymorph in this dataset   68 meV/atom

Cell and atoms, written as POSCAR:
```
InCu2Te
1.0
-0.2564 2.5310 -1.9748
-3.4244 0.8866 1.5808
2.8433 3.5421 4.1725
Cu In Te
2 1 1
Direct
0.9999 0.0000 0.8034
0.0001 0.0000 0.1966
0.5000 0.5000 0.0000
0.0000 0.5000 0.5000
```



No. 5
A plane-wave DFT calculation with PBEsol was carried out for a relaxed structure of ReOs3.

Computed properties:
SG   P-6m2, No. 187
Energy above the most stable polymorph in this dataset   36 meV/atom
ΔE_f   -42 meV/atom

Cell and atoms, written as POSCAR:
```
ReOs3
1.0
-1.2136 2.4395 0.2435
0.5169 -1.4991 2.2291
7.7745 3.7929 0.7482
Re Os
1 3
Direct
0.0000 0.0000 0.5000
0.3333 0.6667 0.2493
0.3333 0.6667 0.7507
0.0000 0.0000 0.0000
```



No. 6
A plane-wave DFT calculation with PBEsol was carried out for a relaxed structure of Hf2AlCo2.

Computed properties:
SG   P4/mbm, No. 127
ΔE_f   -469 meV/atom

Cell and atoms, written as POSCAR:
```
Hf2AlCo2
1.0
-2.0832 1.9653 1.5455
1.4510 -3.1084 5.9087
5.0445 4.4714 1.1135
Hf Co Al
4 4 2
Direct
0.5000 0.1704 0.6704
0.5000 0.6704 0.8296
0.5000 0.8296 0.3296
0.5000 0.3296 0.1704
0.0000 0.3700 0.8700
0.0000 0.8700 0.6300
0.0000 0.6300 0.1300
0.0000 0.1300 0.3700
0.0000 0.0000 0.0000
0.0000 0.5000 0.5000
```